No. 1
Ho3Al4Cu2: optimized geometry, PBE.

The structure belongs to space group C2/m (No. 12); the cell edges are 10.486, 4.445 and 8.438 Å and the angles 90.00°, 113.28° and 90.00°. The asymmetric unit holds Ho at (0.000, 0.000, 0.000), Ho at (0.176, 0.500, 0.650), Al at (0.029, 0.000, 0.362), Al at (0.230, 0.500, 0.074) and Cu at (0.093, 0.500, 0.265).

For the formation energy, the calculation gives -3.972 eV/f.u. The total energy comes out at -4.54 eV/atom. Its total magnetization is 0.00 Bohr magnetons per cell.

---

No. 2
Mn5Cd4: optimized geometry, PBE.

The structure belongs to space group I4/mmm (No. 139); the cell edges are 8.669, 8.669 and 4.126 Å and the angles 90.00°, 90.00° and 90.00°. The asymmetric unit holds Mn at (0.000, 0.000, 0.000), Mn at (0.158, 0.158, 0.500) and Cd at (0.000, 0.320, 0.000).

For the formation energy, the calculation gives 3.058 eV/f.u. The total energy comes out at -5.16 eV/atom. Its total magnetization is 34.54 Bohr magnetons per cell.

---

No. 3
La2TbPuN4: optimized geometry, PBE.

The structure belongs to space group P2/m (No. 10); the cell edges are 6.192, 3.600 and 6.276 Å and the angles 90.00°, 109.07° and 90.00°. The asymmetric unit holds La at (0.000, 0.000, 0.000), La at (0.500, 0.500, 0.000), Tb at (0.000, 0.500, 0.500), Pu at (0.500, 0.000, 0.500), N at (0.251, 0.000, 0.727) and N at (0.267, 0.500, 0.280).

The calculation puts the uncorrected formation energy at -1.366 eV per atom. The total energy comes out at -9.13 eV/atom. Its total magnetization is 4.56 Bohr magnetons per cell.

---

No. 4
KBaW2: optimized geometry, PBE.

The structure belongs to space group F-43m (No. 216); the cell edges are 7.243, 7.243 and 7.243 Å and the angles 90.00°, 90.00° and 90.00°. The asymmetric unit holds K at (0.000, 0.000, 0.000), Ba at (0.250, 0.250, 0.750), W at (0.000, 0.000, 0.500) and W at (0.250, 0.250, 0.250).

For the formation energy, the calculation gives 7.407 eV/f.u. The total energy comes out at -5.38 eV/atom. Its total magnetization is 0.00 Bohr magnetons per cell.

---

No. 5
ReTcBr2: optimized geometry, PBE.

The structure belongs to space group Fm-3m (No. 225); the cell edges are 6.398, 6.398 and 6.398 Å and the angles 90.00°, 90.00° and 90.00°. The asymmetric unit holds Re at (0.000, 0.000, 0.000), Tc at (0.000, 0.000, 0.500) and Br at (0.250, 0.250, 0.250).

The calculation puts the uncorrected formation energy at 1.450 eV per atom. The total energy comes out at -5.09 eV/atom. Its total magnetization is 0.00 Bohr magnetons per cell.

---

No. 6
InCu2Te: optimized geometry, PBE.

The structure belongs to space group Pmmm (No. 47); the cell edges are 3.384, 3.923 and 6.219 Å and the angles 90.00°, 90.00° and 90.00°. The asymmetric unit holds In at (0.000, 0.000, 0.000), Cu at (0.500, 0.500, 0.197) and Te at (0.500, 0.000, 0.500).

The calculation puts the uncorrected formation energy at 0.130 eV per atom. The total energy comes out at -3.39 eV/atom. Its total magnetization is 0.00 Bohr magnetons per cell.

---

No. 7
SrCaHoIn: optimized geometry, PBE.

The structure belongs to space group F-43m (No. 216); the cell edges are 8.081, 8.081 and 8.081 Å and the angles 90.00°, 90.00° and 90.00°. The asymmetric unit holds Sr at (0.000, 0.000, 0.000), Ca at (0.250, 0.250, 0.750), Ho at (0.000, 0.000, 0.500) and In at (0.250, 0.250, 0.250).

For the formation energy, the calculation gives -0.401 eV/f.u. The total energy comes out at -2.85 eV/atom. Its total magnetization is 0.00 Bohr magnetons per cell.

---

No. 8
CoAsPb2: optimized geometry, PBE.

The structure belongs to space group P4mm (No. 99); the cell edges are 3.241, 3.241 and 8.427 Å and the angles 90.00°, 90.00° and 90.00°. The asymmetric unit holds Co at (0.000, 0.000, 0.000), As at (0.500, 0.500, 0.898), Pb at (0.000, 0.000, 0.620) and Pb at (0.500, 0.500, 0.257).

For the formation energy, the calculation gives 0.453 eV/f.u. The total energy comes out at -4.68 eV/atom. Its total magnetization is 0.00 Bohr magnetons per cell.

---

No. 9
PuTlCl6: optimized geometry, PBE.

The structure belongs to space group C2/m (No. 12); the cell edges are 7.450, 11.550 and 7.079 Å and the angles 90.00°, 104.09° and 90.00°. The asymmetric unit holds Pu at (0.000, 0.000, 0.000), Tl at (0.000, 0.500, 0.500), Cl at (0.180, 0.153, 0.224) and Cl at (0.245, 0.000, 0.809).

The calculation puts the uncorrected formation energy at -1.332 eV per atom. The total energy comes out at -4.80 eV/atom. Its total magnetization is 6.00 Bohr magnetons per cell.

---

No. 10
MnCu2W: optimized geometry, PBE.

The structure belongs to space group Pmm2 (No. 25); the cell edges are 2.724, 3.477 and 5.591 Å and the angles 90.00°, 90.00° and 90.00°. The asymmetric unit holds Mn at (0.000, 0.000, 0.000), Cu at (0.000, 0.000, 0.528), Cu at (0.500, 0.500, 0.751) and W at (0.500, 0.500, 0.251).

For the formation energy, the calculation gives 1.040 eV/f.u. The total energy comes out at -7.32 eV/atom. Its total magnetization is 2.45 Bohr magnetons per cell.

---

No. 11
LiTiSn3: optimized geometry, PBE.

The structure belongs to space group Pm-3m (No. 221); the cell edges are 5.294, 5.294 and 5.294 Å and the angles 90.00°, 90.00° and 90.00°. The asymmetric unit holds Li at (0.000, 0.000, 0.000), Ti at (0.500, 0.500, 0.500) and Sn at (0.000, 0.500, 0.500).

For the formation energy, the calculation gives 0.293 eV/f.u. The total energy comes out at -4.30 eV/atom. Its total magnetization is 0.00 Bohr magnetons per cell.

---

No. 12
SrZrTlTe2: optimized geometry, PBE.

The structure belongs to space group P4/mmm (No. 123); the cell edges are 5.640, 5.640 and 6.067 Å and the angles 90.00°, 90.00° and 90.00°. The asymmetric unit holds Sr at (0.000, 0.000, 0.000), Zr at (0.000, 0.000, 0.500), Tl at (0.500, 0.500, 0.000) and Te at (0.000, 0.500, 0.500).

The calculation puts the uncorrected formation energy at -0.153 eV per atom. The total energy comes out at -3.93 eV/atom. Its total magnetization is 0.00 Bohr magnetons per cell.

---

| no. | ρ (kg/m³) |
| --- | --- |
| 1 | 6708 |
| 2 | 7757 |
| 3 | 9252 |
| 4 | 9512 |
| 5 | 11263 |
| 6 | 7432 |
| 7 | 5129 |
| 8 | 10287 |
| 9 | 3716 |
| 10 | 11473 |
| 11 | 4599 |
| 12 | 5493 |